{
  "formula": "Tl2CdCuHg",
  "functional": "PBE",
  "state": "optimized geometry",
  "lattice_angstrom": [[5.2945, 0.0000, 0.0000], [0.0000, 5.2945, 0.0000], [0.0000, 0.0000, 5.1507]],
  "species": ["Cd", "Hg", "Cu", "Tl", "Tl"],
  "frac_coords": [[0.0000, 0.0000, 0.5000], [0.5000, 0.5000, 0.5000], [0.0000, 0.0000, 0.0000], [0.5000, 0.0000, 0.0000], [0.0000, 0.5000, 0.0000]],
  "energy_ev_per_atom": -1.8613,
  "space_group": "No. 123",
  "relative_energy_mev_per_atom": 0
}

***

{
  "formula": "Cr3FeAs4",
  "functional": "PBE",
  "state": "optimized geometry",
  "lattice_angstrom": [[3.5675, 0.0000, 0.0000], [0.0000, 5.5391, 0.0091], [0.0000, 0.0288, 6.1511]],
  "species": ["As", "Fe", "As", "As", "Cr", "Cr", "As", "Cr"],
  "frac_coords": [[0.5000, 0.3081, 0.9130], [0.0000, 0.5016, 0.7072], [0.0000, 0.7004, 0.0778], [0.5000, 0.7777, 0.5901], [0.0000, 0.0058, 0.7856], [0.5000, 0.9986, 0.2093], [0.0000, 0.2121, 0.4185], [0.5000, 0.4957, 0.2985]],
  "energy_ev_per_atom": -7.1841,
  "space_group": "No. 6"
}

***

{
  "formula": "BaCr2C",
  "functional": "PBE",
  "state": "optimized geometry",
  "lattice_angstrom": [[6.2779, 0.0000, 0.0000], [0.0000, 6.2779, 0.0000], [3.1389, 3.1389, 4.4422]],
  "species": ["Cr", "C", "Cr", "Ba", "Ba", "C", "Cr", "Cr"],
  "frac_coords": [[0.3749, 0.6250, 0.2500], [0.2500, 0.7500, 0.5000], [0.3751, 0.1250, 0.2500], [0.7500, 0.2500, 0.5000], [0.0000, 0.0000, 0.0000], [0.5000, 0.5000, 0.0000], [0.3750, 0.6249, 0.7500], [0.8750, 0.6251, 0.7500]],
  "energy_ev_per_atom": -7.0075,
  "space_group": "No. 227"
}

***

{
  "formula": "Na3TlC",
  "functional": "PBE",
  "state": "optimized geometry",
  "lattice_angstrom": [[-0.6360, -3.2894, 4.8653], [5.6359, 1.0344, 1.4361], [-1.6516, 4.7964, 3.0269]],
  "species": ["Na", "Tl", "C", "Na", "Na"],
  "frac_coords": [[0.5000, 0.0000, 0.0000], [0.0000, 0.0000, 0.0000], [0.5000, 0.5000, 0.5000], [0.0000, 0.5000, 0.0000], [0.0000, 0.0000, 0.5000]],
  "energy_ev_per_atom": -1.6589,
  "space_group": "No. 221",
  "relative_energy_mev_per_atom": 684
}

***

{
  "formula": "ZrCrCo",
  "functional": "PBE",
  "state": "optimized geometry",
  "lattice_angstrom": [[2.8428, 0.0000, 0.0000], [-1.4214, 2.4620, 0.0000], [0.0000, 0.0000, 6.5410]],
  "species": ["Zr", "Co", "Cr"],
  "frac_coords": [[0.6667, 0.3333, 0.6718], [0.0000, 0.0000, 0.0315], [0.3333, 0.6667, 0.2968]],
  "energy_ev_per_atom": -7.9539,
  "space_group": "No. 156",
  "relative_energy_mev_per_atom": 649
}

***

{
  "formula": "CaAlHg2",
  "functional": "PBE",
  "state": "optimized geometry",
  "lattice_angstrom": [[0.0000, -1.0396, 3.5530], [-2.4216, -2.6866, -0.7861], [5.3497, -4.4419, -1.2996]],
  "species": ["Ca", "Hg", "Al", "Hg"],
  "frac_coords": [[0.5000, 0.5000, 0.7527], [0.0000, 0.0000, 0.0119], [0.0000, 0.0000, 0.4542], [0.5000, 0.5000, 0.2812]],
  "energy_ev_per_atom": -1.7677,
  "space_group": "No. 99"
}